## Zr2ScUAs4 (GGA-PBE)

Data for an optimized crystal structure of Zr2ScUAs4.

a = 3.909 Å, b = 6.791 Å, c = 6.804 Å
α = 109.09°, β = 90.00°, γ = 90.00°
Site moments in Bohr magnetons follow the coordinates.
Fractional coordinates of all 8 atoms:
As: 0.000 0.242 0.744  -0.03
Zr: 0.000 0.500 0.500  0.05
U: 0.500 0.500 0.000  1.90
As: 0.500 0.754 0.749  -0.02
Zr: 0.500 0.000 0.500  -0.02
As: 0.500 0.246 0.251  -0.02
As: 0.000 0.758 0.256  -0.03
Sc: 0.000 0.000 0.000  0.03

Properties
Calculated formation energy   -25.38 kcal/mol of atoms
Raw total energy   -7.76 eV per atom
Volume   21.34 Å³/atom
Symmetry   P2/m, No. 10
Magnetic moment   0.257 μB/atom

## Sc2SbF (GGA-PBE)

Data for an optimized crystal structure of Sc2SbF.

a = 4.842 Å, b = 4.842 Å, c = 4.842 Å
α = 60.00°, β = 60.00°, γ = 60.00°
Site moments in Bohr magnetons follow the coordinates.
Fractional coordinates of all 4 atoms:
Sc: 0.250 0.250 0.250  0.69
Sc: 0.750 0.750 0.750  0.69
F: 0.000 0.000 0.000  0.01
Sb: 0.500 0.500 0.500  -0.04

Properties
Raw formation energy   -1.276 eV per atom
Energy above the lowest structure with this stoichiometry   0 kJ/mol of formula units
Raw total energy   -5.94 eV per atom
Volume   20.07 Å³/atom
Symmetry   Fm-3m, No. 225
Magnetic moment   0.491 μB/atom

## Rb3Cd2IrO6 (GGA-PBE)

Data for an optimized crystal structure of Rb3Cd2IrO6.

a = 5.989 Å, b = 5.989 Å, c = 6.560 Å
α = 98.65°, β = 98.65°, γ = 120.03°
Site moments in Bohr magnetons follow the coordinates.
Fractional coordinates of all 12 atoms:
Cd: 0.334 0.666 0.000  0.01
Rb: 0.828 0.172 0.500  0.00
Ir: 0.000 0.000 0.000  1.17
O: 0.059 0.343 0.172  0.11
Rb: 0.172 0.828 0.500  0.00
O: 0.343 0.059 0.172  0.11
Rb: 0.500 0.500 0.500  0.00
O: 0.941 0.657 0.828  0.11
O: 0.657 0.941 0.828  0.11
O: 0.224 0.224 0.823  0.11
O: 0.776 0.776 0.177  0.11
Cd: 0.666 0.334 0.000  0.01

Properties
Raw formation energy   -1.069 eV per atom
Raw total energy   -4.68 eV per atom
Volume   16.19 Å³/atom
Symmetry   C2/m, No. 12
Magnetic moment   0.173 μB/atom

## DyThZrSc (GGA-PBE)

Data for an optimized crystal structure of DyThZrSc.

a = 5.367 Å, b = 5.367 Å, c = 5.367 Å
α = 60.00°, β = 60.00°, γ = 60.00°
Fractional coordinates of all 4 atoms:
Dy: 0.750 0.750 0.750
Th: 0.250 0.250 0.250
Zr: 0.000 0.000 0.000
Sc: 0.500 0.500 0.500

Properties
Calculated formation energy   2.50 kcal/mol of atoms
Raw total energy   -6.62 eV per atom
Volume   27.33 Å³/atom
Symmetry   F-43m, No. 216
Magnetic moment   0.000 μB/atom

## CaTa3Mn (GGA-PBE)

Data for an optimized crystal structure of CaTa3Mn.

a = 4.633 Å, b = 4.633 Å, c = 4.633 Å
α = 90.00°, β = 90.00°, γ = 90.00°
Fractional coordinates of all 5 atoms:
Ta: 0.000 0.500 0.000
Ca: 0.000 0.000 0.000
Ta: 0.500 0.000 0.000
Ta: 0.000 0.000 0.500
Mn: 0.500 0.500 0.500

Properties
Energy above the lowest structure with this stoichiometry   1074 kJ/mol of formula units
Calculated formation energy   68.35 kcal/mol of atoms
Raw total energy   -6.38 eV per atom
Volume   19.89 Å³/atom
Symmetry   Pm-3m, No. 221
Magnetic moment   0.000 μB/atom

## LiCo5Si6 (GGA-PBE)

Data for an optimized crystal structure of LiCo5Si6.

a = 6.912 Å, b = 3.910 Å, c = 6.188 Å
α = 71.58°, β = 79.67°, γ = 55.42°
Site moments in Bohr magnetons follow the coordinates.
Fractional coordinates of all 12 atoms:
Si: 0.748 0.083 0.337  0.01
Si: 0.748 0.421 0.663  0.01
Si: 0.257 0.243 0.000  0.00
Co: 0.500 0.169 0.661  0.43
Co: 0.500 0.831 0.339  0.43
Si: 0.252 0.917 0.663  0.01
Co: 0.000 0.337 0.326  0.11
Si: 0.252 0.579 0.337  0.01
Si: 0.743 0.757 0.000  0.00
Co: 0.000 0.663 0.674  0.11
Li: 0.000 0.000 0.000  0.00
Co: 0.500 0.500 0.000  0.17

Properties
Raw formation energy   -0.340 eV per atom
Raw total energy   -6.17 eV per atom
Volume   10.89 Å³/atom
Symmetry   C2/m, No. 12
Magnetic moment   0.104 μB/atom

## Pr4HoSc2 (GGA-PBE)

Data for an optimized crystal structure of Pr4HoSc2.

a = 8.796 Å, b = 6.523 Å, c = 8.969 Å
α = 90.00°, β = 118.13°, γ = 90.00°
Fractional coordinates of all 14 atoms:
Ho: 0.749 0.250 0.732
Pr: 0.003 0.250 0.566
Sc: 0.800 0.750 0.003
Ho: 0.251 0.750 0.268
Pr: 0.586 0.005 0.234
Pr: 0.056 0.750 0.838
Sc: 0.200 0.250 0.997
Pr: 0.997 0.750 0.434
Pr: 0.414 0.505 0.766
Pr: 0.586 0.495 0.234
Sc: 0.641 0.750 0.585
Pr: 0.414 0.995 0.766
Sc: 0.359 0.250 0.415
Pr: 0.944 0.250 0.162

Properties
Energy above the lowest structure with this stoichiometry   0 kJ/mol of formula units
Calculated formation energy   4.23 kcal/mol of atoms
Raw total energy   -5.01 eV per atom
Volume   32.42 Å³/atom
Symmetry   P2_1/m, No. 11
Magnetic moment   0.000 μB/atom

## TbCeHf2 (GGA-PBE)

Data for an optimized crystal structure of TbCeHf2.

a = 4.782 Å, b = 4.643 Å, c = 4.643 Å
α = 90.00°, β = 90.00°, γ = 90.00°
Fractional coordinates of all 4 atoms:
Hf: 0.000 0.500 0.000
Tb: 0.500 0.500 0.500
Hf: 0.000 0.000 0.500
Ce: 0.500 0.000 0.000

Properties
Energy above the lowest structure with this stoichiometry   0 kJ/mol of formula units
Calculated formation energy   4.50 kcal/mol of atoms
Raw total energy   -7.42 eV per atom
Volume   25.77 Å³/atom
Symmetry   P4/mmm, No. 123
Magnetic moment   0.000 μB/atom

## Al2AuBr (GGA-PBE)

Data for an optimized crystal structure of Al2AuBr.

a = 3.774 Å, b = 3.774 Å, c = 7.826 Å
α = 101.87°, β = 101.87°, γ = 64.48°
Fractional coordinates of all 4 atoms:
Al: 0.350 0.350 0.578
Br: 0.250 0.250 0.250
Al: 0.150 0.150 0.922
Au: 0.750 0.750 0.750

Properties
Raw formation energy   -0.355 eV per atom
Energy above the lowest structure with this stoichiometry   0 kJ/mol of formula units
Raw total energy   -3.46 eV per atom
Volume   24.39 Å³/atom
Symmetry   C2/m, No. 12
Magnetic moment   0.000 μB/atom

## ThCrN3 (GGA-PBE)

Data for an optimized crystal structure of ThCrN3.

a = 3.813 Å, b = 3.813 Å, c = 3.813 Å
α = 90.00°, β = 90.00°, γ = 90.00°
Fractional coordinates of all 5 atoms:
N: 0.000 0.000 0.500
N: 0.500 0.000 0.000
Cr: 0.000 0.000 0.000
N: 0.000 0.500 0.000
Th: 0.500 0.500 0.500

Properties
Raw formation energy   -0.898 eV per atom
Raw total energy   -9.30 eV per atom
Volume   11.09 Å³/atom
Symmetry   Pm-3m, No. 221
Magnetic moment   0.000 μB/atom

## Tb5PmNdY2 (GGA-PBE)

Data for an optimized crystal structure of Tb5PmNdY2.

a = 5.660 Å, b = 10.363 Å, c = 10.669 Å
α = 90.00°, β = 90.00°, γ = 105.85°
Fractional coordinates of all 18 atoms:
Tb: 0.982 0.963 0.527
Y: 0.890 0.780 0.234
Y: 0.885 0.771 0.822
Y: 0.110 0.220 0.734
Pm: 0.797 0.594 0.511
Tb: 0.607 0.215 0.524
Nd: 0.583 0.167 0.952
Tb: 0.283 0.565 0.309
Tb: 0.018 0.037 0.027
Y: 0.115 0.229 0.322
Tb: 0.702 0.404 0.207
Tb: 0.298 0.596 0.707
Tb: 0.717 0.435 0.809
Tb: 0.522 0.044 0.237
Tb: 0.393 0.785 0.024
Pm: 0.203 0.406 0.011
Nd: 0.417 0.833 0.452
Tb: 0.478 0.956 0.737

Properties
Calculated formation energy   3.48 kcal/mol of atoms
Raw total energy   -4.92 eV per atom
Volume   33.44 Å³/atom
Symmetry   Cmc2_1, No. 36
Magnetic moment   0.000 μB/atom

## Pr8GaCo2 (GGA-PBE)

Data for an optimized crystal structure of Pr8GaCo2.

a = 5.685 Å, b = 8.132 Å, c = 8.132 Å
α = 116.20°, β = 98.64°, γ = 98.64°
Fractional coordinates of all 11 atoms:
Pr: 0.560 0.087 0.340
Co: 0.500 0.718 0.288
Ga: 0.000 0.003 0.003
Pr: 0.813 0.616 0.616
Pr: 0.440 0.919 0.667
Pr: 0.186 0.390 0.390
Pr: 0.440 0.667 0.919
Co: 0.500 0.288 0.718
Pr: 0.000 0.241 0.765
Pr: 0.000 0.765 0.241
Pr: 0.560 0.340 0.087

Properties
Calculated formation energy   -0.50 kcal/mol of atoms
Raw total energy   -5.06 eV per atom
Volume   29.40 Å³/atom
Symmetry   C2/m, No. 12
Magnetic moment   0.000 μB/atom

## Ac2TlHg2 (GGA-PBE)

Data for an optimized crystal structure of Ac2TlHg2.

a = 4.968 Å, b = 6.566 Å, c = 11.063 Å
α = 82.16°, β = 77.02°, γ = 67.77°
Fractional coordinates of all 10 atoms:
Hg: 0.861 0.719 0.559
Ac: 0.685 0.735 0.895
Hg: 0.040 0.812 0.107
Hg: 0.139 0.281 0.441
Tl: 0.784 0.097 0.335
Ac: 0.512 0.312 0.663
Ac: 0.488 0.688 0.337
Tl: 0.216 0.903 0.665
Hg: 0.960 0.188 0.893
Ac: 0.315 0.265 0.105

Properties
Energy above the lowest structure with this stoichiometry   10 kJ/mol of formula units
Calculated formation energy   -9.14 kcal/mol of atoms
Raw total energy   -2.63 eV per atom
Volume   32.50 Å³/atom
Symmetry   C2/m, No. 12
Magnetic moment   0.000 μB/atom

## Dy9B5S21 (GGA-PBE)

Data for an optimized crystal structure of Dy9B5S21.

a = 11.195 Å, b = 11.195 Å, c = 11.195 Å
α = 95.39°, β = 95.39°, γ = 95.39°
Fractional coordinates of all 70 atoms:
S: 0.116 0.988 0.504
S: 0.863 0.175 0.532
Dy: 0.785 0.905 0.139
S: 0.771 0.648 0.197
Dy: 0.880 0.268 0.130
S: 0.258 0.733 0.122
S: 0.648 0.197 0.771
B: 0.067 0.419 0.751
S: 0.913 0.695 0.777
S: 0.176 0.394 0.312
S: 0.100 0.241 0.023
S: 0.777 0.913 0.695
S: 0.324 0.427 0.593
S: 0.027 0.678 0.365
S: 0.807 0.908 0.390
B: 0.570 0.255 0.913
Dy: 0.268 0.130 0.880
B: 0.803 0.803 0.803
Dy: 0.568 0.798 0.409
S: 0.312 0.176 0.394
S: 0.988 0.504 0.116
B: 0.419 0.751 0.067
S: 0.908 0.390 0.807
S: 0.040 0.472 0.591
B: 0.123 0.123 0.123
S: 0.532 0.863 0.175
B: 0.303 0.303 0.303
Dy: 0.606 0.471 0.250
S: 0.591 0.040 0.472
S: 0.394 0.312 0.176
S: 0.504 0.723 0.635
B: 0.255 0.913 0.570
Dy: 0.130 0.880 0.268
B: 0.622 0.622 0.622
S: 0.695 0.777 0.913
S: 0.593 0.324 0.427
B: 0.913 0.570 0.255
S: 0.023 0.100 0.241
Dy: 0.816 0.573 0.961
Dy: 0.573 0.961 0.816
Dy: 0.905 0.139 0.785
Dy: 0.409 0.568 0.798
Dy: 0.493 0.105 0.250
S: 0.801 0.070 0.977
S: 0.122 0.258 0.733
S: 0.427 0.593 0.324
Dy: 0.798 0.409 0.568
S: 0.390 0.807 0.908
S: 0.241 0.023 0.100
S: 0.428 0.324 0.849
Dy: 0.250 0.493 0.105
S: 0.365 0.027 0.678
S: 0.175 0.532 0.863
Dy: 0.471 0.250 0.606
S: 0.070 0.977 0.801
S: 0.324 0.849 0.428
S: 0.723 0.635 0.504
S: 0.678 0.365 0.027
Dy: 0.105 0.250 0.493
S: 0.635 0.504 0.723
S: 0.849 0.428 0.324
S: 0.197 0.771 0.648
B: 0.751 0.067 0.419
S: 0.977 0.801 0.070
S: 0.504 0.116 0.988
Dy: 0.250 0.606 0.471
Dy: 0.961 0.816 0.573
S: 0.733 0.122 0.258
Dy: 0.139 0.785 0.905
S: 0.472 0.591 0.040

Properties
Raw formation energy   -1.459 eV per atom
Raw total energy   -6.07 eV per atom
Volume   19.76 Å³/atom
Symmetry   R3, No. 146
Magnetic moment   0.000 μB/atom

## Zr2Be9Os (GGA-PBE)

Data for an optimized crystal structure of Zr2Be9Os.

a = 4.534 Å, b = 4.534 Å, c = 7.685 Å
α = 72.84°, β = 72.84°, γ = 60.00°
Fractional coordinates of all 12 atoms:
Os: 0.000 0.000 0.000
Be: 0.922 0.425 0.228
Be: 0.078 0.575 0.772
Be: 0.575 0.575 0.772
Zr: 0.140 0.140 0.579
Zr: 0.860 0.860 0.421
Be: 0.500 0.500 0.500
Be: 0.666 0.666 0.002
Be: 0.425 0.922 0.228
Be: 0.334 0.334 0.998
Be: 0.575 0.078 0.772
Be: 0.425 0.425 0.228

Properties
Calculated formation energy   -2.30 kcal/mol of atoms
Raw total energy   -5.25 eV per atom
Volume   10.72 Å³/atom
Symmetry   R-3m, No. 166
Magnetic moment   0.000 μB/atom

## LiTlCr (GGA-PBE)

Data for an optimized crystal structure of LiTlCr.

a = 5.226 Å, b = 5.226 Å, c = 5.226 Å
α = 140.55°, β = 140.55°, γ = 57.02°
Site moments in Bohr magnetons follow the coordinates.
Fractional coordinates of all 3 atoms:
Cr: 0.995 0.995 0.000  3.80
Li: 0.334 0.334 0.000  0.01
Tl: 0.671 0.671 0.000  -0.02

Properties
Energy above the lowest structure with this stoichiometry   0 kJ/mol of formula units
Calculated formation energy   7.36 kcal/mol of atoms
Raw total energy   -4.32 eV per atom
Volume   19.05 Å³/atom
Symmetry   I4mm, No. 107
Magnetic moment   1.432 μB/atom

## DyTh3Rh4 (GGA-PBE)

Data for an optimized crystal structure of DyTh3Rh4.

a = 7.057 Å, b = 7.059 Å, c = 8.130 Å
α = 90.00°, β = 90.00°, γ = 109.32°
Fractional coordinates of all 16 atoms:
Rh: 0.002 0.251 0.620
Th: 0.250 0.500 0.874
Rh: 0.502 0.251 0.380
Th: 0.750 0.000 0.371
Rh: 0.499 0.253 0.877
Rh: 0.998 0.749 0.380
Rh: 0.999 0.253 0.123
Th: 0.750 0.500 0.126
Rh: 0.501 0.747 0.123
Th: 0.250 0.000 0.629
Dy: 0.750 0.000 0.872
Rh: 0.498 0.749 0.620
Dy: 0.250 0.000 0.128
Th: 0.750 0.500 0.630
Rh: 0.001 0.747 0.877
Th: 0.250 0.500 0.370

Properties
Calculated formation energy   -19.65 kcal/mol of atoms
Raw total energy   -7.89 eV per atom
Volume   23.88 Å³/atom
Symmetry   P2/c, No. 13
Magnetic moment   0.000 μB/atom

## AlPbW2 (GGA-PBE)

Data for an optimized crystal structure of AlPbW2.

a = 5.092 Å, b = 5.092 Å, c = 4.947 Å
α = 71.94°, β = 71.94°, γ = 37.86°
Fractional coordinates of all 4 atoms:
W: 0.025 0.025 0.985
Al: 0.485 0.485 0.549
Pb: 0.258 0.258 0.227
W: 0.732 0.732 0.739

Properties
Energy above the lowest structure with this stoichiometry   101 kJ/mol of formula units
Calculated formation energy   14.88 kcal/mol of atoms
Raw total energy   -7.69 eV per atom
Volume   18.60 Å³/atom
Symmetry   Cm, No. 8
Magnetic moment   0.000 μB/atom

## NaBiS3 (GGA-PBE)

Data for an optimized crystal structure of NaBiS3.

a = 5.261 Å, b = 5.261 Å, c = 5.261 Å
α = 90.00°, β = 90.00°, γ = 90.00°
Fractional coordinates of all 5 atoms:
S: 0.000 0.500 0.000
S: 0.500 0.000 0.000
Na: 0.500 0.500 0.500
S: 0.000 0.000 0.500
Bi: 0.000 0.000 0.000

Properties
Raw formation energy   0.016 eV per atom
Energy above the lowest structure with this stoichiometry   120 kJ/mol of formula units
Raw total energy   -3.50 eV per atom
Volume   29.12 Å³/atom
Symmetry   Pm-3m, No. 221
Magnetic moment   0.000 μB/atom

## KNp2SiO8 (GGA-PBE)

Data for an optimized crystal structure of KNp2SiO8.

a = 4.827 Å, b = 4.824 Å, c = 7.029 Å
α = 86.85°, β = 86.91°, γ = 85.13°
Site moments in Bohr magnetons follow the coordinates.
Fractional coordinates of all 12 atoms:
O: 0.201 0.823 0.820  -0.06
O: 0.799 0.177 0.180  -0.06
Np: 0.478 0.478 0.767  1.75
Si: 0.000 0.000 0.000  0.00
O: 0.342 0.339 0.452  -0.08
Np: 0.522 0.522 0.233  1.75
K: 0.000 0.000 0.500  0.00
O: 0.824 0.203 0.820  -0.06
O: 0.287 0.285 0.996  -0.07
O: 0.658 0.661 0.548  -0.08
O: 0.713 0.715 0.004  -0.07
O: 0.176 0.797 0.180  -0.06

Properties
Raw formation energy   -2.463 eV per atom
Raw total energy   -8.47 eV per atom
Volume   13.55 Å³/atom
Symmetry   P-1, No. 2
Magnetic moment   0.250 μB/atom